Below is crystalline BiP2WS at its relaxed geometry, with properties calculated at the GGA-PBEsol level.

Lattice parameters (Å, degrees): 4.9930 5.0348 5.0348 90.00 90.00 90.00
Last column: nearest neighbours and their distance in Å.
Positions (direct):
P: 0.0000 0.0000 0.5000  2 Bi 2.52
P: 0.0000 0.5000 0.0000  2 Bi 2.52
S: 0.5000 0.0000 0.0000  2 Bi 2.50
Bi: 0.0000 0.0000 0.0000  2 S 2.50, 4 P 2.52
W: 0.5000 0.5000 0.5000  8 P 3.55, 4 S 3.56

Values from the calculation:
- energy relative to the elements, uncorrected (eV/atom) = 2.11
- total magnetization (μB per cell) = 2.490
- electronic total energy (eV per atom) = -4.7070